# 1
The following is a DFT calculation (PBE-GGA) of crystalline Se2S at its relaxed geometry.

Calculated values
Total moment: 0.000 μB/atom
Formation energy without anion corrections: 0.042 eV per atom
Crystal system: triclinic

abc: 4.5559 4.6165 4.8274
angles: 88.73 88.91 65.30
Space group P1 (No. 1)
One atom of each set of equivalent atoms:
Se1 0.0000 0.0000 0.0000 x1
Se2 0.2198 0.2152 0.3446 x1
S1 0.8321 0.3836 0.6720 x1

=====

# 2
The following is a DFT calculation (PBE-GGA) of crystalline Se3S at its relaxed geometry.

Calculated values
Total moment: 0.000 μB/atom
Formation energy without anion corrections: 0.306 eV per atom
Crystal system: tetragonal

abc: 3.6489 3.6489 18.3231
angles: 90.00 90.00 90.00
Space group I4/mmm (No. 139)
One atom of each set of equivalent atoms:
Se1 0.0000 0.0000 0.0000 x2
Se2 0.0000 0.5000 0.2500 x4
S1 0.0000 0.0000 0.5000 x2

=====

# 3
The following is a DFT calculation (PBE-GGA) of crystalline SeS4 at its relaxed geometry.

Calculated values
Total moment: 0.000 μB/atom
Formation energy without anion corrections: 0.130 eV per atom
Crystal system: monoclinic

abc: 6.2357 6.9115 9.2150
angles: 90.00 123.22 90.00
Space group Pc (No. 7)
One atom of each set of equivalent atoms:
Se1 0.0000 0.2485 0.0000 x2
S1 0.3854 0.1285 0.7966 x2
S2 0.4349 0.4477 0.8620 x2
S3 0.6734 0.0845 0.7666 x2
S4 0.7406 0.4936 0.3552 x2

=====

# 4
The following is a DFT calculation (PBE-GGA) of crystalline SeS2 at its relaxed geometry.

Calculated values
Total moment: 0.000 μB/atom
Formation energy without anion corrections: 0.222 eV per atom
Crystal system: triclinic

abc: 5.1453 5.8910 6.7977
angles: 86.47 77.84 74.62
Space group P-1 (No. 2)
One atom of each set of equivalent atoms:
Se1 0.2464 0.0589 0.0433 x2
S1 0.1963 0.2006 0.7010 x2
S2 0.2078 0.6903 0.2204 x2

=====

# 5
The following is a DFT calculation (PBE-GGA) of crystalline Se2S at its relaxed geometry.

Calculated values
Total moment: 0.000 μB/atom
Formation energy without anion corrections: 0.042 eV per atom
Crystal system: triclinic

abc: 5.9302 5.9546 7.1655
angles: 78.65 79.22 72.95
Space group P1 (No. 1)
One atom of each set of equivalent atoms:
Se1 0.0000 0.0000 0.0000 x1
Se2 0.0580 0.5989 0.1487 x1
Se3 0.4196 0.9955 0.5762 x1
Se4 0.6760 0.5398 0.2698 x1
S1 0.0422 0.0007 0.6857 x1
S2 0.6161 0.6157 0.5689 x1

=====

# 6
The following is a DFT calculation (PBE-GGA) of crystalline Se4S at its relaxed geometry.

Calculated values
Total moment: 0.000 μB/atom
Formation energy without anion corrections: 0.760 eV per atom
Crystal system: cubic

abc: 4.8627 4.8627 4.8627
angles: 90.00 90.00 90.00
Space group Pm-3m (No. 221)
One atom of each set of equivalent atoms:
Se1 0.0000 0.0000 0.0000 x1
Se2 0.0000 0.5000 0.5000 x3
S1 0.5000 0.5000 0.5000 x1

=====

# 7
The following is a DFT calculation (PBE-GGA) of crystalline SeS2 at its relaxed geometry.

Calculated values
Total moment: 0.000 μB/atom
Formation energy without anion corrections: 0.035 eV per atom
Crystal system: triclinic

abc: 5.2470 6.6321 6.7029
angles: 79.64 88.19 67.35
Space group P1 (No. 1)
One atom of each set of equivalent atoms:
Se1 0.0000 0.0000 0.0000 x1
Se2 0.0008 0.0003 0.3513 x1
S1 0.1286 0.2784 0.3870 x1
S2 0.6095 0.2814 0.8707 x1
S3 0.7320 0.5329 0.7411 x1
S4 0.7645 0.5316 0.4316 x1

=====

# 8
The following is a DFT calculation (PBE-GGA) of crystalline Se2S at its relaxed geometry.

Calculated values
Total moment: 0.000 μB/atom
Formation energy without anion corrections: 0.047 eV per atom
Crystal system: triclinic

abc: 4.7766 4.7774 9.4450
angles: 84.08 75.77 89.66
Space group P1 (No. 1)
One atom of each set of equivalent atoms:
Se1 0.0000 0.0000 0.0000 x1
Se2 0.0795 0.2497 0.4233 x1
Se3 0.3864 0.9263 0.5152 x1
Se4 0.7427 0.6714 0.9049 x1
S1 0.6683 0.3132 0.0821 x1
S2 0.6707 0.2004 0.6003 x1